Below is a relaxed Rb3GeRu crystal, with properties calculated at the PBE-GGA level.

Properties
* formation energy: 1.217 eV/atom
* E_tot: -2.1420 eV/atom
* space-group type: Pm-3m, No. 221
* distance to the lowest polymorph of the same formula: 0.0 kJ/mol of atoms

Unit cell a=5.848 b=5.848 c=5.848 alpha=90.00 beta=90.00 gamma=90.00
Fractional positions:
1 Rb 0.000 0.000 0.500
2 Rb 0.000 0.500 0.000
3 Rb 0.500 0.000 0.000
4 Ge 0.500 0.500 0.500
5 Ru 0.000 0.000 0.000

=====

Below is a relaxed RbGeRu crystal, with properties calculated at the PBE-GGA level.

Properties
* formation energy: -0.063 eV/atom
* E_tot: -5.0166 eV/atom
* space-group type: P4/nmm, No. 129

Unit cell a=4.465 b=4.465 c=8.161 alpha=90.00 beta=90.00 gamma=90.00
Fractional positions:
1 Rb 0.250 0.250 0.164
2 Rb 0.750 0.750 0.836
3 Ge 0.250 0.250 0.625
4 Ge 0.750 0.750 0.375
5 Ru 0.250 0.750 0.500
6 Ru 0.750 0.250 0.500

=====

Below is a relaxed RbGeRu3 crystal, with properties calculated at the PBE-GGA level.

Properties
* formation energy: 2.988 eV/atom
* E_tot: -3.6943 eV/atom
* space-group type: Pm-3m, No. 221
* distance to the lowest polymorph of the same formula: 166.7 kJ/mol of atoms

Unit cell a=4.823 b=4.823 c=4.823 alpha=90.00 beta=90.00 gamma=90.00
Fractional positions:
1 Rb 0.000 0.000 0.000
2 Ge 0.500 0.500 0.500
3 Ru 0.000 0.000 0.500
4 Ru 0.000 0.500 0.000
5 Ru 0.500 0.000 0.000

=====

Below is a relaxed RbGeTeRu2 crystal, with properties calculated at the PBE-GGA level.

Properties
* E_tot: -4.5000 eV/atom
* space-group type: P4/mmm, No. 123

Unit cell a=4.755 b=4.755 c=5.917 alpha=90.00 beta=90.00 gamma=90.00
Fractional positions:
1 Rb 0.000 0.000 0.000
2 Ge 0.000 0.000 0.500
3 Te 0.500 0.500 0.000
4 Ru 0.000 0.500 0.500
5 Ru 0.500 0.000 0.500

=====

Below is a relaxed Rb3GeS3 crystal, with properties calculated at the PBE-GGA level.

Properties
* E_tot: -3.6036 eV/atom
* space-group type: Cmcm, No. 63
* distance to the lowest polymorph of the same formula: 10.7 kJ/mol of atoms

Unit cell a=9.951 b=9.951 c=6.643 alpha=90.00 beta=90.00 gamma=119.82
Fractional positions:
1 Rb 0.184 0.816 0.750
2 Rb 0.185 0.369 0.750
3 Rb 0.369 0.185 0.250
4 Rb 0.631 0.815 0.750
5 Rb 0.815 0.631 0.250
6 Rb 0.816 0.184 0.250
7 Ge 0.333 0.667 0.250
8 Ge 0.667 0.333 0.750
9 S 0.204 0.796 0.250
10 S 0.205 0.409 0.250
11 S 0.409 0.205 0.750
12 S 0.591 0.795 0.250
13 S 0.795 0.591 0.750
14 S 0.796 0.204 0.750

=====

Below is a relaxed Rb3GeS3 crystal, with properties calculated at the PBE-GGA level.

Properties
* E_tot: -3.7147 eV/atom
* space-group type: Cmce, No. 64
* distance to the lowest polymorph of the same formula: 0.0 kJ/mol of atoms

Unit cell a=10.483 b=10.483 c=13.268 alpha=90.00 beta=90.00 gamma=39.88
Fractional positions:
1 Rb 0.022 0.331 0.869
2 Rb 0.150 0.850 0.837
3 Rb 0.169 0.478 0.631
4 Rb 0.331 0.022 0.131
5 Rb 0.350 0.650 0.337
6 Rb 0.478 0.169 0.369
7 Rb 0.522 0.831 0.631
8 Rb 0.650 0.350 0.663
9 Rb 0.669 0.978 0.869
10 Rb 0.831 0.522 0.369
11 Rb 0.850 0.150 0.163
12 Rb 0.978 0.669 0.131
13 Ge 0.083 0.083 0.500
14 Ge 0.417 0.417 0.000
15 Ge 0.583 0.583 0.000
16 Ge 0.917 0.917 0.500
17 S 0.009 0.687 0.387
18 S 0.187 0.509 0.887
19 S 0.213 0.787 0.588
20 S 0.287 0.713 0.088
21 S 0.313 0.991 0.387
22 S 0.491 0.813 0.887
23 S 0.509 0.187 0.113
24 S 0.687 0.009 0.613
25 S 0.713 0.287 0.912
26 S 0.787 0.213 0.412
27 S 0.813 0.491 0.113
28 S 0.991 0.313 0.613

=====

Below is a relaxed RbGeS4 crystal, with properties calculated at the PBE-GGA level.

Properties
* E_tot: -4.0984 eV/atom
* space-group type: C2/c, No. 15

Unit cell a=13.460 b=13.460 c=5.366 alpha=101.42 beta=101.42 gamma=145.65
Fractional positions:
1 Rb 0.083 0.917 0.750
2 Rb 0.917 0.083 0.250
3 Ge 0.251 0.749 0.250
4 Ge 0.749 0.251 0.750
5 S 0.045 0.447 0.217
6 S 0.307 0.360 0.085
7 S 0.360 0.307 0.585
8 S 0.447 0.045 0.717
9 S 0.553 0.955 0.283
10 S 0.640 0.693 0.415
11 S 0.693 0.640 0.915
12 S 0.955 0.553 0.783

=====

Below is a relaxed RbGe6S8 crystal, with properties calculated at the PBE-GGA level.

Properties
* E_tot: -4.4373 eV/atom
* space-group type: R-3, No. 148

Unit cell a=7.622 b=7.622 c=7.622 alpha=94.98 beta=94.98 gamma=94.98
Fractional positions:
1 Rb 0.000 0.000 0.000
2 Ge 0.209 0.516 0.516
3 Ge 0.484 0.484 0.791
4 Ge 0.484 0.791 0.484
5 Ge 0.516 0.209 0.516
6 Ge 0.516 0.516 0.209
7 Ge 0.791 0.484 0.484
8 S 0.001 0.650 0.352
9 S 0.304 0.304 0.304
10 S 0.350 0.648 0.999
11 S 0.352 0.001 0.650
12 S 0.648 0.999 0.350
13 S 0.650 0.352 0.001
14 S 0.696 0.696 0.696
15 S 0.999 0.350 0.648

=====

Below is a relaxed RbGeS3 crystal, with properties calculated at the PBE-GGA level.

Properties
* E_tot: -2.2271 eV/atom
* space-group type: Pm-3m, No. 221

Unit cell a=5.520 b=5.520 c=5.520 alpha=90.00 beta=90.00 gamma=90.00
Fractional positions:
1 Rb 0.000 0.000 0.000
2 Ge 0.500 0.500 0.500
3 S 0.000 0.000 0.500
4 S 0.000 0.500 0.000
5 S 0.500 0.000 0.000

=====

Below is a relaxed RbGeS2 crystal, with properties calculated at the PBE-GGA level.

Properties
* E_tot: -3.7196 eV/atom
* space-group type: R-3m, No. 166

Unit cell a=9.151 b=9.151 c=9.151 alpha=23.68 beta=23.68 gamma=23.68
Fractional positions:
1 Rb 0.000 0.000 0.000
2 Ge 0.500 0.500 0.500
3 S 0.115 0.115 0.115
4 S 0.885 0.885 0.885

=====

Below is a relaxed RbGeS3 crystal, with properties calculated at the PBE-GGA level.

Properties
* E_tot: -4.0514 eV/atom
* space-group type: C222_1, No. 20

Unit cell a=7.786 b=7.786 c=5.210 alpha=90.00 beta=90.00 gamma=103.31
Fractional positions:
1 Rb 0.178 0.822 0.750
2 Rb 0.822 0.178 0.250
3 Ge 0.366 0.366 0.500
4 Ge 0.634 0.634 0.000
5 S 0.117 0.332 0.707
6 S 0.332 0.117 0.293
7 S 0.390 0.610 0.250
8 S 0.610 0.390 0.750
9 S 0.668 0.883 0.793
10 S 0.883 0.668 0.207

=====

Below is a relaxed RbGe4S7 crystal, with properties calculated at the PBE-GGA level.

Properties
* E_tot: -4.4394 eV/atom
* space-group type: Pmn2_1, No. 31

Unit cell a=14.968 b=6.224 c=7.009 alpha=90.00 beta=90.00 gamma=90.00
Fractional positions:
1 Rb 0.000 0.177 0.000
2 Rb 0.500 0.823 0.500
3 Ge 0.121 0.720 0.426
4 Ge 0.249 0.257 0.430
5 Ge 0.251 0.743 0.930
6 Ge 0.379 0.280 0.926
7 Ge 0.621 0.280 0.926
8 Ge 0.749 0.743 0.930
9 Ge 0.751 0.257 0.430
10 Ge 0.879 0.720 0.426
11 S 0.000 0.917 0.515
12 S 0.116 0.672 0.109
13 S 0.123 0.410 0.587
14 S 0.242 0.899 0.537
15 S 0.258 0.101 0.037
16 S 0.377 0.590 0.087
17 S 0.384 0.328 0.609
18 S 0.500 0.083 0.015
19 S 0.616 0.328 0.609
20 S 0.623 0.590 0.087
21 S 0.742 0.101 0.037
22 S 0.758 0.899 0.537
23 S 0.877 0.410 0.587
24 S 0.884 0.672 0.109

=====

Total magnetic moment (μB per formula unit)
3.432, 0.000, 4.451, 3.050, 0.661, 0.000, 0.000, 0.000, 2.329, 0.000, 1.035, 0.000